## TiNbV2Cr (PBE)

Data for TiNbV2Cr after structural relaxation.

E_tot = -7.456 eV per atom
Density of states at the Fermi level = 9.2 states/eV per cell

a = 4.492 Å, b = 4.689 Å, c = 4.492 Å
α = 90.00°, β = 90.00°, γ = 90.00°
Fractional positions:
Cr (0.500, 0.500, 0.500)
Nb (0.000, 0.000, 0.000)
Ti (0.000, 0.500, 0.000)
V (0.000, 0.000, 0.500)
V (0.500, 0.000, 0.000)

## Fe2CoP (PBE)

Data for Fe2CoP after structural relaxation.

E_tot = -7.456 eV per atom
Density of states at the Fermi level = 4.3 states/eV per cell

a = 3.600 Å, b = 2.592 Å, c = 5.003 Å
α = 70.27°, β = 90.00°, γ = 90.00°
Fractional positions:
Co (0.500, 0.750, 0.750)
Fe (0.000, 0.074, 0.010)
Fe (0.000, 0.426, 0.490)
P (0.500, 0.250, 0.250)

## NdTm7Cd4 (PBE)

Data for NdTm7Cd4 after structural relaxation.

E_tot = -3.285 eV per atom
Density of states at the Fermi level = 13.4 states/eV per cell

a = 5.661 Å, b = 8.926 Å, c = 7.817 Å
α = 69.80°, β = 68.77°, γ = 71.51°
Fractional positions:
Nd (0.000, 0.000, 0.000)
Tm (0.794, 0.880, 0.533)
Tm (0.206, 0.120, 0.467)
Tm (0.073, 0.585, 0.270)
Tm (0.927, 0.415, 0.730)
Tm (0.263, 0.693, 0.782)
Tm (0.500, 0.000, 0.000)
Tm (0.737, 0.307, 0.218)
Cd (0.542, 0.289, 0.628)
Cd (0.458, 0.711, 0.372)
Cd (0.682, 0.660, 0.976)
Cd (0.318, 0.340, 0.024)

## GeHSe2 (PBE)

Data for GeHSe2 after structural relaxation.

E_tot = -3.726 eV per atom
Density of states at the Fermi level = 1.9 states/eV per cell
Distance to the lowest polymorph of the same formula = 0.115 eV per atom

a = 6.839 Å, b = 6.839 Å, c = 6.839 Å
α = 33.39°, β = 33.39°, γ = 33.39°
Fractional positions:
H (0.000, 0.000, 0.000)
Ge (0.500, 0.500, 0.500)
Se (0.909, 0.909, 0.909)
Se (0.091, 0.091, 0.091)

## BaSrI4 (PBE)

Data for BaSrI4 after structural relaxation.

E_tot = -3.355 eV per atom
Formation energy without anion corrections = -1.72 eV/atom
Density of states at the Fermi level = 0.0 states/eV per cell

a = 8.343 Å, b = 7.652 Å, c = 19.764 Å
α = 90.00°, β = 90.00°, γ = 90.00°
Fractional positions:
Ba (0.250, 0.000, 0.177)
Ba (0.750, 0.000, 0.823)
Ba (0.250, 0.500, 0.677)
Ba (0.750, 0.500, 0.323)
Sr (0.250, 0.000, 0.434)
Sr (0.750, 0.000, 0.566)
Sr (0.750, 0.500, 0.066)
Sr (0.250, 0.500, 0.934)
I (0.096, 0.240, 0.312)
I (0.596, 0.240, 0.688)
I (0.073, 0.256, 0.051)
I (0.573, 0.256, 0.949)
I (0.573, 0.244, 0.449)
I (0.073, 0.244, 0.551)
I (0.596, 0.260, 0.188)
I (0.096, 0.260, 0.812)
I (0.904, 0.740, 0.188)
I (0.404, 0.740, 0.812)
I (0.927, 0.756, 0.449)
I (0.427, 0.756, 0.551)
I (0.427, 0.744, 0.051)
I (0.927, 0.744, 0.949)
I (0.904, 0.760, 0.688)
I (0.404, 0.760, 0.312)

## TbThNi2As2 (PBE)

Data for TbThNi2As2 after structural relaxation.

E_tot = -6.558 eV per atom
Density of states at the Fermi level = 2.7 states/eV per cell

a = 4.078 Å, b = 4.078 Å, c = 7.986 Å
α = 90.00°, β = 90.00°, γ = 120.00°
Fractional positions:
Tb (0.000, 0.000, 0.500)
Th (0.000, 0.000, 0.000)
Ni (0.667, 0.333, 0.236)
Ni (0.333, 0.667, 0.764)
As (0.667, 0.333, 0.734)
As (0.333, 0.667, 0.266)

## LaIn2Au (PBE)

Data for LaIn2Au after structural relaxation.

E_tot = -4.003 eV per atom
Density of states at the Fermi level = 3.5 states/eV per cell

a = 4.931 Å, b = 4.931 Å, c = 9.200 Å
α = 105.55°, β = 105.55°, γ = 90.00°
Fractional positions:
La (0.138, 0.138, 0.276)
La (0.862, 0.862, 0.724)
In (0.000, 0.500, 0.000)
In (0.500, 0.000, 0.000)
In (0.359, 0.359, 0.718)
In (0.641, 0.641, 0.282)
Au (0.250, 0.750, 0.500)
Au (0.750, 0.250, 0.500)